A plane-wave DFT calculation with PBEsol was carried out for crystalline Mn2TcIr at its relaxed geometry.

## Properties
theoretical density	12.925	g/cm3
formation enthalpy at 0 K	0.077	eV/atom
E	-10.076	eV per atom

Cell: 3.022 4.074 4.885 Å, 114.64 108.02 90.00°
Site moments in Bohr magnetons follow the coordinates.
Fractional coordinates of all 4 atoms:
Ir  0.743  0.243  0.486  0.24
Mn  0.991  0.991  0.982  2.37
Mn  0.256  0.756  0.512  2.50
Tc  0.510  0.510  0.020  -0.33

---

A plane-wave DFT calculation with PBEsol was carried out for crystalline Mn2TcIr at its relaxed geometry.

## Properties
theoretical density	13.590	g/cm3
formation enthalpy at 0 K	-0.091	eV/atom
E	-10.244	eV per atom

Cell: 2.627 3.946 4.896 Å, 90.00 105.56 90.00°
Fractional coordinates of all 4 atoms:
Ir  0.423  0.500  0.846
Tc  0.077  0.000  0.155
Mn  0.807  0.000  0.614
Mn  0.693  0.500  0.386

---

A plane-wave DFT calculation with PBEsol was carried out for crystalline MnTc2Ir at its relaxed geometry.

## Properties
theoretical density	13.803	g/cm3
formation enthalpy at 0 K	-0.030	eV/atom
E	-10.559	eV per atom

Cell: 2.657 4.591 4.634 Å, 99.36 90.00 106.82°
Site moments in Bohr magnetons follow the coordinates.
Fractional coordinates of all 4 atoms:
Ir  0.499  0.998  0.497  -0.03
Mn  0.749  0.499  0.247  1.70
Tc  0.004  0.009  0.007  -0.14
Tc  0.247  0.495  0.748  -0.14

---

A plane-wave DFT calculation with PBEsol was carried out for crystalline Mn4TeIr at its relaxed geometry.

## Properties
theoretical density	11.620	g/cm3
E	-8.302	eV per atom

Cell: 4.777 4.777 4.777 Å, 60.00 60.00 60.00°
Site moments in Bohr magnetons follow the coordinates.
Fractional coordinates of all 6 atoms:
Ir  0.000  0.000  0.000  0.08
Mn  0.626  0.626  0.122  1.32
Mn  0.122  0.626  0.626  1.32
Mn  0.626  0.122  0.626  1.32
Mn  0.626  0.626  0.626  1.32
Te  0.250  0.250  0.250  0.00

---

A plane-wave DFT calculation with PBEsol was carried out for crystalline MnTeIr at its relaxed geometry.

## Properties
theoretical density	12.335	g/cm3
E	-7.311	eV per atom

Cell: 3.107 3.107 5.669 Å, 105.90 105.90 90.00°
Site moments in Bohr magnetons follow the coordinates.
Fractional coordinates of all 3 atoms:
Ir  0.014  0.014  0.027  0.17
Mn  0.652  0.652  0.304  3.33
Te  0.335  0.335  0.669  -0.07

---

A plane-wave DFT calculation with PBEsol was carried out for crystalline MnTe2Ir at its relaxed geometry.

## Properties
theoretical density	9.900	g/cm3
E	-6.449	eV per atom
offset from the most stable computed form	0.0000	eV per atom

Cell: 4.011 4.011 6.477 Å, 71.96 71.96 60.00°
Site moments in Bohr magnetons follow the coordinates.
Fractional coordinates of all 4 atoms:
Ir  0.500  0.500  0.500  0.14
Mn  0.000  0.000  0.000  3.96
Te  0.243  0.243  0.272  0.03
Te  0.757  0.757  0.728  0.03

---

A plane-wave DFT calculation with PBEsol was carried out for crystalline MnTeIr2 at its relaxed geometry.

## Properties
theoretical density	14.878	g/cm3
E	-7.838	eV per atom

Cell: 2.887 4.651 4.712 Å, 90.00 90.13 90.00°
Site moments in Bohr magnetons follow the coordinates.
Fractional coordinates of all 4 atoms:
Ir  0.752  0.000  0.738  0.09
Ir  0.248  0.000  0.262  0.09
Mn  0.500  0.500  0.500  3.23
Te  0.000  0.500  0.000  -0.02

---

A plane-wave DFT calculation with PBEsol was carried out for crystalline Mn2TeIr at its relaxed geometry.

## Properties
theoretical density	11.592	g/cm3
E	-7.918	eV per atom

Cell: 3.961 3.953 4.825 Å, 114.18 114.23 90.00°
Site moments in Bohr magnetons follow the coordinates.
Fractional coordinates of all 4 atoms:
Ir  0.000  0.500  0.000  0.33
Mn  0.750  0.750  0.500  3.39
Mn  0.250  0.250  0.500  3.39
Te  0.500  0.000  0.000  -0.05

---

A plane-wave DFT calculation with PBEsol was carried out for crystalline MnTe2Ir at its relaxed geometry.

## Properties
theoretical density	11.025	g/cm3
E	-6.162	eV per atom
offset from the most stable computed form	0.2874	eV per atom

Cell: 3.975 3.975 5.553 Å, 110.97 110.97 90.00°
Site moments in Bohr magnetons follow the coordinates.
Fractional coordinates of all 4 atoms:
Ir  0.500  0.500  0.000  -0.01
Mn  0.250  0.750  0.500  3.55
Te  0.000  0.000  0.000  -0.03
Te  0.750  0.250  0.500  -0.07

---

A plane-wave DFT calculation with PBEsol was carried out for crystalline TiMnIr2 at its relaxed geometry.

## Properties
theoretical density	14.337	g/cm3
formation enthalpy at 0 K	-0.495	eV/atom
E	-9.928	eV per atom

Cell: 4.305 4.305 4.305 Å, 60.00 60.00 60.00°
Site moments in Bohr magnetons follow the coordinates.
Fractional coordinates of all 4 atoms:
Ir  0.250  0.250  0.250  0.42
Ir  0.750  0.750  0.750  0.42
Mn  0.500  0.500  0.500  3.64
Ti  0.000  0.000  0.000  0.18

---

A plane-wave DFT calculation with PBEsol was carried out for crystalline MnTlIr2 at its relaxed geometry.

## Properties
theoretical density	17.058	g/cm3
formation enthalpy at 0 K	0.355	eV/atom
E	-7.654	eV per atom
offset from the most stable computed form	0.0146	eV per atom

Cell: 2.838 3.833 5.761 Å, 90.00 90.00 90.00°
Site moments in Bohr magnetons follow the coordinates.
Fractional coordinates of all 4 atoms:
Ir  0.000  0.000  0.023  0.02
Ir  0.500  0.500  0.268  0.04
Mn  0.000  0.000  0.456  3.14
Tl  0.500  0.500  0.753  -0.01

---

A plane-wave DFT calculation with PBEsol was carried out for crystalline MnTlIr2 at its relaxed geometry.

## Properties
theoretical density	17.211	g/cm3
formation enthalpy at 0 K	0.341	eV/atom
E	-7.669	eV per atom
offset from the most stable computed form	0.0000	eV per atom

Cell: 4.445 4.445 4.445 Å, 60.00 60.00 60.00°
Site moments in Bohr magnetons follow the coordinates.
Fractional coordinates of all 4 atoms:
Ir  0.250  0.250  0.250  0.25
Ir  0.750  0.750  0.750  0.25
Mn  0.000  0.000  0.000  3.54
Tl  0.500  0.500  0.500  -0.01